A plane-wave DFT calculation with PBE was carried out for an optimized crystal structure of Ba3TmCu2S6.

POSCAR file:
```
Ba3TmCu2S6
1.0
-6.559 1.162 2.952
3.989 -5.716 2.122
3.381 4.491 5.743
Ba Tm Cu S
3 1 2 6
Direct
0.333 0.667 0.629 Ba
0.667 0.333 0.371 Ba
0.000 0.000 0.000 Ba
0.000 0.000 0.500 Tm
0.667 0.333 0.763 Cu
0.333 0.667 0.237 Cu
0.672 0.836 0.294 S
0.164 0.328 0.294 S
0.164 0.836 0.294 S
0.836 0.672 0.706 S
0.328 0.164 0.706 S
0.836 0.164 0.706 S
```

The calculated density is 4.047 Mg/m³. The calculation puts the size of the total moment at 0.000 μB per formula unit. As for the density of states at the Fermi level: 9.319 states/eV per cell.

A plane-wave DFT calculation with PBE was carried out for an optimized crystal structure of BaU2CuS6.

POSCAR file:
```
BaU2CuS6
1.0
-4.671 -5.634 -1.189
0.587 -6.180 3.843
-5.156 -1.686 4.964
Ba U Cu S
1 2 1 6
Direct
0.750 0.764 0.739 Ba
0.536 0.482 0.472 U
0.023 0.991 0.987 U
0.167 0.528 0.930 Cu
0.698 0.176 0.291 S
0.299 0.770 0.210 S
0.865 0.656 0.192 S
0.343 0.777 0.689 S
0.773 0.205 0.737 S
0.208 0.314 0.768 S
```

The calculated density is 5.154 Mg/m³. The calculation puts the size of the total moment at 3.000 μB per formula unit. As for the density of states at the Fermi level: 9.427 states/eV per cell.

A plane-wave DFT calculation with PBE was carried out for an optimized crystal structure of BaUCu2S6.

POSCAR file:
```
BaUCu2S6
1.0
7.683 0.177 0.184
2.635 8.452 0.182
2.635 -0.131 8.453
Ba U Cu S
2 2 4 12
Direct
0.250 0.910 0.090 Ba
0.750 0.090 0.910 Ba
0.250 0.292 0.708 U
0.750 0.708 0.292 U
0.395 0.766 0.629 Cu
0.105 0.371 0.234 Cu
0.605 0.234 0.371 Cu
0.895 0.629 0.766 Cu
0.208 0.008 0.749 S
0.292 0.251 0.992 S
0.792 0.992 0.251 S
0.708 0.749 0.008 S
0.390 0.785 0.377 S
0.110 0.623 0.215 S
0.610 0.215 0.623 S
0.890 0.377 0.785 S
0.212 0.594 0.713 S
0.288 0.287 0.406 S
0.788 0.406 0.287 S
0.712 0.713 0.594 S
```

The calculated density is 4.264 Mg/m³. The calculation puts the size of the total moment at 0.000 μB per formula unit. As for the density of states at the Fermi level: 16.364 states/eV per cell.

A plane-wave DFT calculation with PBE was carried out for an optimized crystal structure of Ba2UCuS5.

POSCAR file:
```
Ba2UCuS5
1.0
4.108 0.000 0.000
-2.054 8.951 0.000
0.000 0.000 12.895
Ba U Cu S
4 2 2 10
Direct
0.883 0.765 0.827 Ba
0.114 0.228 0.695 Ba
0.117 0.235 0.327 Ba
0.886 0.772 0.195 Ba
0.802 0.604 0.519 U
0.198 0.396 0.019 U
0.571 0.141 0.930 Cu
0.429 0.859 0.430 Cu
0.343 0.685 0.013 S
0.697 0.395 0.882 S
0.503 0.006 0.780 S
0.297 0.594 0.656 S
0.943 0.886 0.522 S
0.657 0.315 0.513 S
0.303 0.605 0.382 S
0.497 0.994 0.280 S
0.703 0.406 0.156 S
0.057 0.114 0.022 S
```

The calculated density is 5.159 Mg/m³. The calculation puts the size of the total moment at 0.993 μB per formula unit. As for the density of states at the Fermi level: 9.694 states/eV per cell.

A plane-wave DFT calculation with PBE was carried out for an optimized crystal structure of Ba3UCu2S9.

POSCAR file:
```
Ba3UCu2S9
1.0
6.891 0.000 0.000
-3.446 5.968 0.000
0.000 0.000 8.548
Ba U Cu S
3 1 2 9
Direct
0.333 0.667 0.690 Ba
0.000 0.000 0.000 Ba
0.667 0.333 0.310 Ba
0.000 0.000 0.500 U
0.333 0.667 0.156 Cu
0.667 0.333 0.844 Cu
0.828 0.172 0.671 S
0.828 0.656 0.671 S
0.344 0.172 0.671 S
0.656 0.828 0.329 S
0.172 0.344 0.329 S
0.172 0.828 0.329 S
0.500 0.000 0.000 S
0.000 0.500 0.000 S
0.500 0.500 0.000 S
```

The calculated density is 5.033 Mg/m³. The calculation puts the size of the total moment at 0.000 μB per formula unit. As for the density of states at the Fermi level: 10.389 states/eV per cell.

A plane-wave DFT calculation with PBE was carried out for an optimized crystal structure of BaU3Cu4S12.

POSCAR file:
```
BaU3Cu4S12
1.0
-7.179 0.154 -4.509
0.826 -7.935 2.871
-1.375 4.855 6.814
Ba U Cu S
1 3 4 12
Direct
0.000 0.000 0.000 Ba
0.562 0.438 0.000 U
0.438 0.000 0.562 U
0.000 0.562 0.438 U
0.932 0.068 0.500 Cu
0.068 0.500 0.932 Cu
0.500 0.932 0.068 Cu
0.500 0.500 0.500 Cu
0.500 0.339 0.661 S
0.903 0.500 0.097 S
0.097 0.903 0.500 S
0.500 0.097 0.903 S
0.357 0.972 0.245 S
0.245 0.357 0.972 S
0.972 0.245 0.357 S
0.643 0.755 0.028 S
0.028 0.643 0.755 S
0.755 0.028 0.643 S
0.661 0.500 0.339 S
0.339 0.661 0.500 S
```

The calculated density is 4.780 Mg/m³. The calculation puts the size of the total moment at 0.000 μB per formula unit.

A plane-wave DFT calculation with PBE was carried out for an optimized crystal structure of BaUCuS4.

POSCAR file:
```
BaUCuS4
1.0
-1.194 -1.252 -6.025
6.106 -1.683 -0.860
-1.301 -7.083 4.629
Ba U Cu S
2 2 2 8
Direct
0.753 0.750 0.943 Ba
0.247 0.250 0.057 Ba
0.768 0.750 0.444 U
0.232 0.250 0.556 U
0.224 0.750 0.329 Cu
0.776 0.250 0.671 Cu
0.031 0.516 0.709 S
0.969 0.016 0.291 S
0.969 0.484 0.291 S
0.031 0.984 0.709 S
0.425 0.750 0.152 S
0.575 0.250 0.848 S
0.460 0.750 0.588 S
0.540 0.250 0.412 S
```

The calculated density is 5.808 Mg/m³. The calculation puts the size of the total moment at 0.995 μB per formula unit. As for the density of states at the Fermi level: 11.181 states/eV per cell.

A plane-wave DFT calculation with PBE was carried out for an optimized crystal structure of Ba3UCu2S6.

POSCAR file:
```
Ba3UCu2S6
1.0
-1.601 -5.039 5.060
6.922 2.188 -0.923
-1.102 5.758 5.386
Ba U Cu S
3 1 2 6
Direct
0.333 0.667 0.626 Ba
0.667 0.333 0.374 Ba
0.000 0.000 0.000 Ba
0.000 0.000 0.500 U
0.667 0.333 0.777 Cu
0.333 0.667 0.223 Cu
0.669 0.834 0.297 S
0.166 0.331 0.297 S
0.166 0.834 0.297 S
0.834 0.669 0.703 S
0.331 0.166 0.703 S
0.834 0.166 0.703 S
```

The calculated density is 4.361 Mg/m³. The calculation puts the size of the total moment at 1.975 μB per formula unit. As for the density of states at the Fermi level: 4.711 states/eV per cell.

A plane-wave DFT calculation with PBE was carried out for an optimized crystal structure of BaUCu2S4.

POSCAR file:
```
BaUCu2S4
1.0
6.451 0.000 0.000
3.226 5.542 0.081
3.226 0.535 5.517
Ba U Cu S
1 1 2 4
Direct
0.000 0.000 0.000 Ba
0.500 0.500 0.500 U
0.156 0.344 0.344 Cu
0.844 0.656 0.656 Cu
0.449 0.120 0.498 S
0.067 0.880 0.502 S
0.933 0.498 0.120 S
0.551 0.502 0.880 S
```

The calculated density is 5.318 Mg/m³. The calculation puts the size of the total moment at 2.000 μB per formula unit. As for the density of states at the Fermi level: 6.612 states/eV per cell.

A plane-wave DFT calculation with PBE was carried out for an optimized crystal structure of Ba2UCu2S6.

POSCAR file:
```
Ba2UCu2S6
1.0
-5.442 2.555 -3.954
0.965 -7.103 0.630
-3.841 -0.056 5.250
Ba U Cu S
2 1 2 6
Direct
0.667 0.333 0.725 Ba
0.333 0.667 0.275 Ba
0.000 0.000 0.000 U
0.333 0.667 0.783 Cu
0.667 0.333 0.217 Cu
0.097 0.323 0.764 S
0.677 0.774 0.764 S
0.226 0.903 0.764 S
0.903 0.677 0.236 S
0.323 0.226 0.236 S
0.774 0.097 0.236 S
```

The calculated density is 4.737 Mg/m³. The calculation puts the size of the total moment at 0.000 μB per formula unit.

A plane-wave DFT calculation with PBE was carried out for an optimized crystal structure of Ba2UCu2S5.

POSCAR file:
```
Ba2UCu2S5
1.0
7.155 -0.003 -0.010
5.994 3.906 -0.010
3.943 1.170 8.455
S U Ba Cu
5 1 2 2
Direct
0.390 0.390 0.936 S
0.143 0.143 0.695 S
0.610 0.610 0.064 S
0.500 0.500 0.500 S
0.857 0.857 0.305 S
0.000 0.000 0.000 U
0.176 0.176 0.300 Ba
0.824 0.824 0.700 Ba
0.553 0.553 0.703 Cu
0.447 0.447 0.297 Cu
```

The calculated density is 5.615 Mg/m³. The calculation puts the size of the total moment at 2.001 μB per formula unit. As for the density of states at the Fermi level: 4.453 states/eV per cell.

A plane-wave DFT calculation with PBE was carried out for an optimized crystal structure of BaV2CuS8.

POSCAR file:
```
BaV2CuS8
1.0
5.905 0.000 0.000
2.952 5.114 0.000
2.952 1.705 9.010
Ba V Cu S
1 2 1 8
Direct
0.500 0.500 0.500 Ba
0.255 0.255 0.235 V
0.745 0.745 0.765 V
0.000 0.000 0.000 Cu
0.176 0.176 0.473 S
0.626 0.282 0.160 S
0.824 0.824 0.527 S
0.933 0.626 0.160 S
0.067 0.374 0.840 S
0.282 0.933 0.160 S
0.718 0.067 0.840 S
0.374 0.718 0.840 S
```

The calculated density is 3.414 Mg/m³. The calculation puts the size of the total moment at 0.000 μB per formula unit. As for the density of states at the Fermi level: 8.785 states/eV per cell.

Number 1: E_tot -4.963 eV/atom. Number 2: E_tot -6.623 eV/atom. Number 3: E_tot -5.455 eV/atom. Number 4: E_tot -5.951 eV/atom. Number 5: E_tot -5.274 eV/atom. Number 6: E_tot -5.977 eV/atom. Number 7: E_tot -6.124 eV/atom. Number 8: E_tot -5.473 eV/atom. Number 9: E_tot -5.724 eV/atom. Number 10: E_tot -5.547 eV/atom. Number 11: E_tot -5.796 eV/atom. Number 12: E_tot -5.365 eV/atom.